First-principles (GGA-PBE) data for a geometry-optimized YbInRh structure, as listed in Alexandria via LeMat-Bulk.

## Properties
N(E_F): 14.0 states/eV/f.u.
calculated total energy: -4.516 eV/atom
E_form: -644 meV per atom

The structure in CIF format:
```
data_YbInRh
_chemical_formula_sum 'Yb4 In4 Rh4'
_space_group_name_H-M_alt 'P n m a'
_space_group_IT_number 62
_cell_length_a 7.203
_cell_length_b 4.294
_cell_length_c 8.416
_cell_angle_alpha 90.00
_cell_angle_beta 90.00
_cell_angle_gamma 90.00
loop_
_space_group_symop_operation_xyz
'x,y,z'
'-x,-y,-z'
'-x+1/2,-y,z+1/2'
'x+1/2,y,-z+1/2'
'x+1/2,-y+1/2,-z+1/2'
'-x+1/2,y+1/2,z+1/2'
'-x,y+1/2,-z'
'x,-y+1/2,z'
loop_
_atom_site_label
_atom_site_fract_x
_atom_site_fract_y
_atom_site_fract_z
_atom_site_occupancy
Yb1 0.030 0.250 0.176 1
In1 0.148 0.250 0.563 1
Rh1 0.234 0.750 0.373 1
```

First-principles (GGA-PBE) data for a geometry-optimized Hf7Co2Pd2 structure, as listed in Alexandria via LeMat-Bulk.

## Properties
N(E_F): 10.5 states/eV/f.u.
calculated total energy: -8.940 eV/atom
E_form: -369 meV per atom
relative energy among the computed polymorphs: 0 meV/atom

The structure in CIF format:
```
data_Hf7Co2Pd2
_chemical_formula_sum 'Hf14 Co4 Pd4'
_space_group_name_H-M_alt 'I m m 2'
_space_group_IT_number 44
_cell_length_a 3.340
_cell_length_b 14.223
_cell_length_c 8.850
_cell_angle_alpha 90.00
_cell_angle_beta 90.00
_cell_angle_gamma 90.00
loop_
_space_group_symop_operation_xyz
'x,y,z'
'-x,-y,z'
'-x,y,z'
'x,-y,z'
'x+1/2,y+1/2,z+1/2'
'-x+1/2,-y+1/2,z+1/2'
'-x+1/2,y+1/2,z+1/2'
'x+1/2,-y+1/2,z+1/2'
loop_
_atom_site_label
_atom_site_fract_x
_atom_site_fract_y
_atom_site_fract_z
_atom_site_occupancy
Hf1 0.000 0.000 0.000 1
Hf2 0.000 0.134 0.605 1
Hf3 0.000 0.313 0.390 1
Hf4 0.000 0.372 0.747 1
Co1 0.000 0.228 0.090 1
Pd1 0.000 0.000 0.387 1
Pd2 0.000 0.500 0.234 1
```